The following is a DFT calculation (PBE) of a geometry-optimized Hg5As3Pb12 structure.

abc: 17.782 17.782 17.782
angles: 90.00 90.00 90.00
Space group Ia-3d (No. 230)
One atom of each set of equivalent atoms:
Hg: 0.000 0.000 0.000
Hg: 0.000 0.250 0.375
As: 0.000 0.250 0.125
Pb: 0.014 0.085 0.649

Calculated values
spin magnetization = 0.000 μB/f.u.
energy of formation = 0.19 eV per atom